VASP calculation (GGA+U) on LiUFe2O6 after structural relaxation.

a b c (Å): 5.7106 5.7106 5.7106
angles (deg): 56.25 56.25 56.25
Last column: nearest neighbours and their distance in Å.
Fractional positions:
Li (0.0000, 0.0000, 0.0000)  6 O 2.16-2.33
U (0.4851, 0.4851, 0.4851)  6 O 2.10-2.11
Fe (0.2816, 0.2816, 0.2816)  6 O 2.09-2.30
Fe (0.7923, 0.7923, 0.7923)  6 O 2.01-2.11
O (0.0756, 0.6844, 0.4203)  1 Fe 2.01, 1 U 2.11, 1 Li 2.16
O (0.1914, 0.5813, 0.8824)  2 Fe 2.09-2.11, 1 U 2.10, 1 Li 2.33
O (0.4203, 0.0756, 0.6844)  1 Fe 2.01, 1 U 2.11, 1 Li 2.16
O (0.5813, 0.8824, 0.1914)  2 Fe 2.09-2.11, 1 U 2.10, 1 Li 2.33
O (0.6844, 0.4203, 0.0756)  1 Fe 2.01, 1 U 2.11, 1 Li 2.16
O (0.8824, 0.1914, 0.5813)  2 Fe 2.09-2.11, 1 U 2.10, 1 Li 2.33

Values from the calculation:
Magnetization, μB/f.u.: 9.00
E, eV per formula unit: -75.90